VASP calculation (GGA+U) on a relaxed Li2PuCoF8 crystal.

Unit cell a=4.799 b=6.723 c=4.802 alpha=90.00 beta=90.08 gamma=90.00
Positions (direct):
Li (0.000, 0.202, 0.000)
Li (0.000, 0.798, 0.000)
Pu (0.500, 0.500, 0.500)
Co (0.500, 0.000, 0.500)
F (0.191, 0.500, 0.188)
F (0.211, 0.000, 0.209)
F (0.296, 0.246, 0.702)
F (0.296, 0.754, 0.702)
F (0.704, 0.246, 0.298)
F (0.704, 0.754, 0.298)
F (0.789, 0.000, 0.791)
F (0.809, 0.500, 0.812)

Properties
Magnetic moment: 7.0 Bohr magnetons per cell
Electronic total energy: -6.10 eV/atom

---

VASP calculation (GGA+U) on a relaxed LiPuCoF6 crystal.

Unit cell a=5.027 b=5.027 c=9.910 alpha=90.00 beta=90.00 gamma=90.00
Positions (direct):
Li (0.000, 0.000, 0.000)
Li (0.500, 0.500, 0.500)
Pu (0.000, 0.000, 0.668)
Pu (0.500, 0.500, 0.168)
Co (0.000, 0.000, 0.335)
Co (0.500, 0.500, 0.835)
F (0.180, 0.180, 0.170)
F (0.199, 0.199, 0.485)
F (0.201, 0.201, 0.845)
F (0.299, 0.701, 0.345)
F (0.301, 0.699, 0.985)
F (0.320, 0.680, 0.670)
F (0.680, 0.320, 0.670)
F (0.699, 0.301, 0.985)
F (0.701, 0.299, 0.345)
F (0.799, 0.799, 0.845)
F (0.801, 0.801, 0.485)
F (0.820, 0.820, 0.170)

Properties
Magnetic moment: 4.0 Bohr magnetons per cell
Electronic total energy: -6.53 eV/atom

---

VASP calculation (GGA+U) on a relaxed Rb3LiCo2F9 crystal.

Unit cell a=5.885 b=5.885 c=7.168 alpha=90.00 beta=90.00 gamma=120.00
Positions (direct):
Rb (0.000, 0.000, 0.000)
Rb (0.333, 0.667, 0.657)
Rb (0.667, 0.333, 0.343)
Li (0.000, 0.000, 0.500)
Co (0.333, 0.667, 0.169)
Co (0.667, 0.333, 0.831)
F (0.000, 0.500, 0.000)
F (0.173, 0.346, 0.320)
F (0.173, 0.827, 0.320)
F (0.346, 0.173, 0.680)
F (0.500, 0.000, 0.000)
F (0.500, 0.500, 0.000)
F (0.654, 0.827, 0.320)
F (0.827, 0.173, 0.680)
F (0.827, 0.654, 0.680)

Properties
Magnetic moment: 7.0 Bohr magnetons per cell
Electronic total energy: -4.58 eV/atom

---

VASP calculation (GGA+U) on a relaxed Li2SmCoF8 crystal.

Unit cell a=4.743 b=4.842 c=6.742 alpha=85.62 beta=87.92 gamma=85.72
Positions (direct):
Li (0.037, 0.038, 0.259)
Li (0.963, 0.962, 0.741)
Sm (0.500, 0.500, 0.500)
Co (0.500, 0.500, 0.000)
F (0.176, 0.190, 0.503)
F (0.235, 0.253, 0.025)
F (0.300, 0.717, 0.225)
F (0.305, 0.698, 0.780)
F (0.695, 0.302, 0.220)
F (0.700, 0.283, 0.775)
F (0.765, 0.747, 0.975)
F (0.824, 0.810, 0.497)

Properties
Magnetic moment: 2.0 Bohr magnetons per cell
Electronic total energy: -5.29 eV/atom

---

VASP calculation (GGA+U) on a relaxed LiSmCoF6 crystal.

Unit cell a=4.995 b=4.995 c=9.901 alpha=90.00 beta=90.00 gamma=90.00
Positions (direct):
Li (0.000, 0.000, 0.000)
Li (0.500, 0.500, 0.500)
Sm (0.000, 0.000, 0.662)
Sm (0.500, 0.500, 0.162)
Co (0.000, 0.000, 0.329)
Co (0.500, 0.500, 0.829)
F (0.182, 0.182, 0.164)
F (0.201, 0.201, 0.484)
F (0.210, 0.210, 0.835)
F (0.290, 0.710, 0.335)
F (0.299, 0.701, 0.984)
F (0.318, 0.682, 0.664)
F (0.682, 0.318, 0.664)
F (0.701, 0.299, 0.984)
F (0.710, 0.290, 0.335)
F (0.790, 0.790, 0.835)
F (0.799, 0.799, 0.484)
F (0.818, 0.818, 0.164)

Properties
Magnetic moment: 6.0 Bohr magnetons per cell
Electronic total energy: -5.69 eV/atom

---

VASP calculation (GGA+U) on a relaxed Sr2LiCoF crystal.

Unit cell a=5.549 b=5.549 c=4.249 alpha=90.00 beta=90.00 gamma=90.00
Positions (direct):
Sr (0.000, 0.500, 0.000)
Sr (0.500, 0.000, 0.000)
Li (0.000, 0.000, 0.500)
Co (0.000, 0.000, 0.000)
F (0.500, 0.500, 0.500)

Properties
Magnetic moment: 0.0 Bohr magnetons per cell
Electronic total energy: -2.62 eV/atom

---

VASP calculation (GGA+U) on a relaxed SrLiCo2F8 crystal.

Unit cell a=4.996 b=6.517 c=5.013 alpha=90.00 beta=93.65 gamma=90.00
Positions (direct):
Sr (0.000, 0.000, 0.000)
Li (0.000, 0.500, 0.000)
Co (0.500, 0.266, 0.500)
Co (0.500, 0.734, 0.500)
F (0.226, 0.278, 0.215)
F (0.226, 0.722, 0.215)
F (0.314, 0.500, 0.677)
F (0.327, 0.000, 0.661)
F (0.673, 0.000, 0.339)
F (0.686, 0.500, 0.323)
F (0.774, 0.278, 0.785)
F (0.774, 0.722, 0.785)

Properties
Magnetic moment: 7.0 Bohr magnetons per cell
Electronic total energy: -5.01 eV/atom

---

VASP calculation (GGA+U) on a relaxed SrLiCoF6 crystal.

Unit cell a=5.179 b=5.179 c=10.404 alpha=90.00 beta=90.00 gamma=120.00
Positions (direct):
Sr (0.000, 0.000, 0.000)
Sr (0.000, 0.000, 0.500)
Li (0.333, 0.667, 0.250)
Li (0.667, 0.333, 0.750)
Co (0.333, 0.667, 0.750)
Co (0.667, 0.333, 0.250)
F (0.027, 0.381, 0.647)
F (0.027, 0.646, 0.853)
F (0.354, 0.381, 0.853)
F (0.354, 0.973, 0.647)
F (0.381, 0.027, 0.147)
F (0.381, 0.354, 0.353)
F (0.619, 0.646, 0.647)
F (0.619, 0.973, 0.853)
F (0.646, 0.027, 0.353)
F (0.646, 0.619, 0.147)
F (0.973, 0.354, 0.147)
F (0.973, 0.619, 0.353)

Properties
Magnetic moment: 0.2 Bohr magnetons per cell
Electronic total energy: -5.03 eV/atom

---

VASP calculation (GGA+U) on a relaxed Sr2Li3CoF12 crystal.

Unit cell a=6.860 b=6.860 c=6.860 alpha=62.95 beta=62.95 gamma=62.95
Positions (direct):
Sr (0.153, 0.153, 0.153)
Sr (0.847, 0.847, 0.847)
Li (0.000, 0.500, 0.500)
Li (0.500, 0.000, 0.500)
Li (0.500, 0.500, 0.000)
Co (0.500, 0.500, 0.500)
F (0.115, 0.115, 0.561)
F (0.115, 0.561, 0.115)
F (0.204, 0.558, 0.558)
F (0.439, 0.885, 0.885)
F (0.442, 0.442, 0.796)
F (0.442, 0.796, 0.442)
F (0.558, 0.204, 0.558)
F (0.558, 0.558, 0.204)
F (0.561, 0.115, 0.115)
F (0.796, 0.442, 0.442)
F (0.885, 0.439, 0.885)
F (0.885, 0.885, 0.439)

Properties
Magnetic moment: 2.1 Bohr magnetons per cell
Electronic total energy: -4.63 eV/atom

---

VASP calculation (GGA+U) on a relaxed LiCoTcF6 crystal.

Unit cell a=5.270 b=5.270 c=9.101 alpha=90.00 beta=90.00 gamma=120.00
Positions (direct):
Li (0.000, 0.000, 0.000)
Li (0.000, 0.000, 0.500)
Co (0.333, 0.667, 0.250)
Co (0.667, 0.333, 0.750)
Tc (0.333, 0.667, 0.750)
Tc (0.667, 0.333, 0.250)
F (0.005, 0.340, 0.630)
F (0.005, 0.665, 0.870)
F (0.335, 0.340, 0.870)
F (0.335, 0.995, 0.630)
F (0.340, 0.005, 0.130)
F (0.340, 0.335, 0.370)
F (0.660, 0.665, 0.630)
F (0.660, 0.995, 0.870)
F (0.665, 0.005, 0.370)
F (0.665, 0.660, 0.130)
F (0.995, 0.335, 0.130)
F (0.995, 0.660, 0.370)

Properties
Magnetic moment: 10.0 Bohr magnetons per cell
Electronic total energy: -5.31 eV/atom

---

VASP calculation (GGA+U) on a relaxed LiTiCoF6 crystal.

Unit cell a=5.180 b=5.180 c=9.204 alpha=90.00 beta=90.00 gamma=120.00
Positions (direct):
Li (0.000, 0.000, 0.000)
Li (0.000, 0.000, 0.500)
Ti (0.333, 0.667, 0.250)
Ti (0.667, 0.333, 0.750)
Co (0.333, 0.667, 0.750)
Co (0.667, 0.333, 0.250)
F (0.019, 0.349, 0.131)
F (0.019, 0.669, 0.369)
F (0.331, 0.349, 0.369)
F (0.331, 0.981, 0.131)
F (0.349, 0.019, 0.631)
F (0.349, 0.331, 0.869)
F (0.651, 0.669, 0.131)
F (0.651, 0.981, 0.369)
F (0.669, 0.019, 0.869)
F (0.669, 0.651, 0.631)
F (0.981, 0.331, 0.631)
F (0.981, 0.651, 0.869)

Properties
E above lowest polymorph: 24.1 meV per atom
Magnetic moment: 4.0 Bohr magnetons per cell
Electronic total energy: -5.70 eV/atom

---

VASP calculation (GGA+U) on a relaxed LiTiCoF6 crystal.

Unit cell a=8.841 b=8.841 c=4.626 alpha=90.00 beta=90.00 gamma=120.00
Positions (direct):
Li (0.000, 0.693, 0.000)
Li (0.307, 0.307, 0.000)
Li (0.693, 0.000, 0.000)
Ti (0.000, 0.352, 0.500)
Ti (0.352, 0.000, 0.500)
Ti (0.648, 0.648, 0.500)
Co (0.000, 0.000, 0.500)
Co (0.333, 0.667, 0.988)
Co (0.667, 0.333, 0.012)
F (0.104, 0.230, 0.727)
F (0.106, 0.565, 0.753)
F (0.125, 0.896, 0.727)
F (0.202, 0.443, 0.241)
F (0.230, 0.104, 0.273)
F (0.241, 0.798, 0.241)
F (0.435, 0.541, 0.753)
F (0.443, 0.202, 0.759)
F (0.459, 0.894, 0.753)
F (0.541, 0.435, 0.247)
F (0.557, 0.759, 0.241)
F (0.565, 0.106, 0.247)
F (0.759, 0.557, 0.759)
F (0.770, 0.875, 0.727)
F (0.798, 0.241, 0.759)
F (0.875, 0.770, 0.273)
F (0.894, 0.459, 0.247)
F (0.896, 0.125, 0.273)

Properties
E above lowest polymorph: 0.0 meV per atom
Magnetic moment: 11.6 Bohr magnetons per cell
Electronic total energy: -5.72 eV/atom

---

VASP calculation (GGA+U) on a relaxed LiTlCo2F8 crystal.

Unit cell a=4.903 b=6.453 c=4.926 alpha=90.00 beta=90.87 gamma=90.00
Positions (direct):
Li (0.000, 0.000, 0.000)
Tl (0.000, 0.500, 0.000)
Co (0.500, 0.234, 0.500)
Co (0.500, 0.766, 0.500)
F (0.206, 0.240, 0.199)
F (0.206, 0.760, 0.199)
F (0.305, 0.000, 0.691)
F (0.317, 0.500, 0.677)
F (0.683, 0.500, 0.323)
F (0.695, 0.000, 0.309)
F (0.794, 0.240, 0.801)
F (0.794, 0.760, 0.801)

Properties
Magnetic moment: 6.0 Bohr magnetons per cell
Electronic total energy: -4.61 eV/atom

---

VASP calculation (GGA+U) on a relaxed LiTl3Co2F9 crystal.

Unit cell a=5.905 b=5.905 c=7.198 alpha=90.00 beta=90.00 gamma=120.00
Positions (direct):
Li (0.000, 0.000, 0.000)
Tl (0.000, 0.000, 0.500)
Tl (0.333, 0.667, 0.152)
Tl (0.667, 0.333, 0.848)
Co (0.333, 0.667, 0.666)
Co (0.667, 0.333, 0.334)
F (0.000, 0.500, 0.500)
F (0.174, 0.347, 0.819)
F (0.174, 0.826, 0.819)
F (0.347, 0.174, 0.181)
F (0.500, 0.000, 0.500)
F (0.500, 0.500, 0.500)
F (0.653, 0.826, 0.819)
F (0.826, 0.174, 0.181)
F (0.826, 0.653, 0.181)

Properties
Magnetic moment: 7.0 Bohr magnetons per cell
Electronic total energy: -4.43 eV/atom

---

VASP calculation (GGA+U) on a relaxed Li2Tl2CoF6 crystal.

Unit cell a=6.497 b=6.497 c=6.497 alpha=54.87 beta=54.87 gamma=54.87
Positions (direct):
Li (0.095, 0.095, 0.095)
Li (0.905, 0.905, 0.905)
Tl (0.289, 0.289, 0.289)
Tl (0.711, 0.711, 0.711)
Co (0.500, 0.500, 0.500)
F (0.260, 0.735, 0.735)
F (0.265, 0.265, 0.740)
F (0.265, 0.740, 0.265)
F (0.735, 0.260, 0.735)
F (0.735, 0.735, 0.260)
F (0.740, 0.265, 0.265)

Properties
Magnetic moment: 3.0 Bohr magnetons per cell
Electronic total energy: -4.44 eV/atom

---

VASP calculation (GGA+U) on a relaxed Li2TlCoF8 crystal.

Unit cell a=5.782 b=5.782 c=5.782 alpha=109.95 beta=109.95 gamma=108.52
Positions (direct):
Li (0.000, 0.000, 0.000)
Li (0.750, 0.250, 0.500)
Tl (0.250, 0.750, 0.500)
Co (0.500, 0.500, 0.000)
F (0.149, 0.439, 0.710)
F (0.209, 0.031, 0.822)
F (0.209, 0.387, 0.178)
F (0.561, 0.271, 0.710)
F (0.561, 0.851, 0.290)
F (0.613, 0.791, 0.822)
F (0.729, 0.439, 0.290)
F (0.969, 0.791, 0.178)

Properties
Magnetic moment: 4.0 Bohr magnetons per cell
Electronic total energy: -4.34 eV/atom

---

VASP calculation (GGA+U) on a relaxed Li2Tl3CoF9 crystal.

Unit cell a=5.768 b=5.768 c=7.098 alpha=90.00 beta=90.00 gamma=120.00
Positions (direct):
Li (0.333, 0.667, 0.152)
Li (0.667, 0.333, 0.848)
Tl (0.000, 0.000, 0.000)
Tl (0.333, 0.667, 0.701)
Tl (0.667, 0.333, 0.299)
Co (0.000, 0.000, 0.500)
F (0.000, 0.500, 0.000)
F (0.154, 0.307, 0.349)
F (0.154, 0.846, 0.349)
F (0.307, 0.154, 0.651)
F (0.500, 0.000, 0.000)
F (0.500, 0.500, 0.000)
F (0.693, 0.846, 0.349)
F (0.846, 0.154, 0.651)
F (0.846, 0.693, 0.651)

Properties
Magnetic moment: 0.0 Bohr magnetons per cell
Electronic total energy: -4.27 eV/atom

---

VASP calculation (GGA+U) on a relaxed Li3Tl3CoF8 crystal.

Unit cell a=6.421 b=6.421 c=7.290 alpha=115.99 beta=115.99 gamma=60.09
Positions (direct):
Li (0.000, 0.000, 0.000)
Li (0.000, 0.500, 0.000)
Li (0.500, 0.000, 0.000)
Tl (0.000, 0.500, 0.500)
Tl (0.500, 0.000, 0.500)
Tl (0.500, 0.500, 0.500)
Co (0.500, 0.500, 0.000)
F (0.223, 0.223, 0.168)
F (0.237, 0.718, 0.172)
F (0.282, 0.763, 0.828)
F (0.283, 0.283, 0.828)
F (0.717, 0.717, 0.172)
F (0.718, 0.237, 0.172)
F (0.763, 0.282, 0.828)
F (0.777, 0.777, 0.832)

Properties
Magnetic moment: 3.0 Bohr magnetons per cell
Electronic total energy: -4.40 eV/atom